A relaxed BaMg2Tc crystal. Source: the Alexandria database, functional PBE.

Cell and atoms, written as POSCAR:
```
BaMg2Tc
1.0
3.124 -4.656 0.000
3.124 4.656 0.000
-0.007 0.000 3.278
Ba Mg Tc
1 2 1
direct
0.000 0.000 0.000 Ba
0.000 0.500 0.500 Mg
0.500 0.000 0.500 Mg
0.500 0.500 0.000 Tc
```

## Properties
space group: No. 12
energy relative to the lowest polymorph listed for this composition: 30.87 kJ per mole of atoms
density: 4.94 g cm⁻³
ΔE_f: 0.7211 eV per atom
crystal system: monoclinic
magnetization: 1.634 μB per formula unit